Record 1
The following is a DFT calculation (GGA-PBE) of a relaxed Nd3NiHg2 crystal.

a b c (Å): 8.6583 8.6583 7.4702
angles (deg): 90.00 90.00 35.82
Element x y z (fractional)
Nd  0.0022  0.9978  0.7500
Nd  0.3625  0.3625  0.0000
Nd  0.3625  0.3625  0.5000
Nd  0.6375  0.6375  0.0000
Nd  0.6375  0.6375  0.5000
Nd  0.9978  0.0022  0.2500
Ni  0.4977  0.5023  0.2500
Ni  0.5023  0.4977  0.7500
Hg  0.1940  0.1941  0.2500
Hg  0.1941  0.1940  0.7500
Hg  0.8059  0.8060  0.2500
Hg  0.8060  0.8059  0.7500

* ρ: 9045 kg/m3
* E: -3.78 eV/atom
* calculated formation energy: -192 kJ/mol of formula units

Record 2
The following is a DFT calculation (GGA-PBE) of a relaxed Ce4As2SeS crystal.

a b c (Å): 7.1998 4.1784 7.2455
angles (deg): 90.00 109.55 90.00
Element x y z (fractional)
Ce  0.2460  0.0000  0.2433
Ce  0.2499  0.5000  0.7555
Ce  0.7501  0.5000  0.2445
Ce  0.7540  0.0000  0.7567
As  0.5000  0.0000  0.0000
As  0.5000  0.5000  0.5000
Se  0.0000  0.0000  0.5000
S  0.0000  0.5000  0.0000

* formation energy without anion corrections: -1.682 eV/atom
* ρ: 6640 kg/m3
* E: -6.76 eV/atom

Record 3
The following is a DFT calculation (GGA-PBE) of a relaxed NdYZnRu crystal.

a b c (Å): 5.0094 5.0094 5.0094
angles (deg): 60.00 60.00 60.00
Element x y z (fractional)
Nd  0.0000  0.0000  0.0000
Y  0.5000  0.5000  0.5000
Zn  0.2500  0.2500  0.2500
Ru  0.7500  0.7500  0.7500

* relative energy among the computed polymorphs: 0 meV per atom
* ρ: 7465 kg/m3
* E: -5.72 eV/atom
* calculated formation energy: -106 kJ/mol of formula units

Record 4
The following is a DFT calculation (GGA-PBE) of a relaxed KLi2ZnAu crystal.

a b c (Å): 5.1237 5.1237 5.0325
angles (deg): 90.00 90.00 90.00
Element x y z (fractional)
K  0.0000  0.0000  0.0000
Li  0.0000  0.5000  0.5000
Li  0.5000  0.0000  0.5000
Zn  0.5000  0.5000  0.0000
Au  0.5000  0.5000  0.5000

* ρ: 3964 kg/m3
* E: -2.06 eV/atom
* calculated formation energy: -82 kJ/mol of formula units

Record 5
The following is a DFT calculation (GGA-PBE) of a relaxed KYAg2Br8 crystal.

a b c (Å): 9.1387 9.1387 9.1387
angles (deg): 134.13 134.13 66.89
Element x y z (fractional)
K  0.0000  0.0000  0.0000
Y  0.2500  0.7500  0.5000
Ag  0.5000  0.5000  0.0000
Ag  0.7500  0.2500  0.5000
Br  0.2698  0.7041  0.1527
Br  0.2959  0.4485  0.5657
Br  0.3937  0.0101  0.0285
Br  0.5515  0.1171  0.8473
Br  0.6348  0.6063  0.6164
Br  0.8829  0.7302  0.4343
Br  0.9816  0.3652  0.9715
Br  0.9899  0.0184  0.3836

* formation energy without anion corrections: -0.922 eV/atom
* ρ: 4219 kg/m3
* E: -3.14 eV/atom

Record 6
The following is a DFT calculation (GGA-PBE) of a relaxed LaNd3Rh crystal.

a b c (Å): 7.8985 7.8985 6.0411
angles (deg): 90.00 90.00 120.00
Element x y z (fractional)
La  0.3333  0.6667  0.2500
La  0.6667  0.3333  0.7500
Nd  0.1776  0.3553  0.7500
Nd  0.1776  0.8224  0.7500
Nd  0.3553  0.1776  0.2500
Nd  0.6447  0.8224  0.7500
Nd  0.8224  0.1776  0.2500
Nd  0.8224  0.6447  0.2500
Rh  0.0000  0.0000  0.0000
Rh  0.0000  0.0000  0.5000

* relative energy among the computed polymorphs: 0 meV per atom
* ρ: 6863 kg/m3
* E: -5.57 eV/atom
* calculated formation energy: -120 kJ/mol of formula units

Record 7
The following is a DFT calculation (GGA-PBE) of a relaxed BaLiSn3 crystal.

a b c (Å): 6.2542 6.2542 6.2542
angles (deg): 90.00 90.00 90.00
Element x y z (fractional)
Ba  0.0000  0.0000  0.0000
Li  0.5000  0.5000  0.5000
Sn  0.0000  0.0000  0.5000
Sn  0.0000  0.5000  0.0000
Sn  0.5000  0.0000  0.0000

* relative energy among the computed polymorphs: 1267 meV per atom
* ρ: 3397 kg/m3
* E: -2.37 eV/atom
* calculated formation energy: 385 kJ/mol of formula units

Record 8
The following is a DFT calculation (GGA-PBE) of a relaxed InTePb2 crystal.

a b c (Å): 3.3934 3.3934 11.1668
angles (deg): 90.00 90.00 109.66
Element x y z (fractional)
In  0.0000  0.0000  0.0000
Te  0.5000  0.5000  0.2342
Pb  0.0000  0.0000  0.4899
Pb  0.5000  0.5000  0.7467

* relative energy among the computed polymorphs: 125 meV per atom
* formation energy without anion corrections: 0.049 eV/atom
* ρ: 9007 kg/m3
* E: -3.28 eV/atom

Record 9
The following is a DFT calculation (GGA-PBE) of a relaxed TiNb3Fe crystal.

a b c (Å): 4.5987 4.5987 4.5987
angles (deg): 90.00 90.00 90.00
Element x y z (fractional)
Ti  0.0000  0.0000  0.0000
Nb  0.0000  0.5000  0.5000
Nb  0.5000  0.0000  0.5000
Nb  0.5000  0.5000  0.0000
Fe  0.5000  0.5000  0.5000

* relative energy among the computed polymorphs: 0 meV per atom
* ρ: 6530 kg/m3
* E: -8.64 eV/atom
* calculated formation energy: 323 kJ/mol of formula units

Record 10
The following is a DFT calculation (GGA-PBE) of a relaxed InFeAsOs2 crystal.

a b c (Å): 4.8761 4.8761 4.8685
angles (deg): 90.00 90.00 90.00
Element x y z (fractional)
In  0.0000  0.0000  0.0000
Fe  0.5000  0.5000  0.5000
As  0.0000  0.0000  0.5000
Os  0.0000  0.5000  0.0000
Os  0.5000  0.0000  0.0000

* ρ: 8981 kg/m3
* E: -4.69 eV/atom
* calculated formation energy: 1434 kJ/mol of formula units

Record 11
The following is a DFT calculation (GGA-PBE) of a relaxed La4Tb3PrTe8 crystal.

a b c (Å): 8.9925 8.9925 8.9925
angles (deg): 60.05 60.05 60.05
Element x y z (fractional)
La  0.0000  0.0000  0.0000
La  0.0000  0.5000  0.5000
La  0.5000  0.0000  0.5000
La  0.5000  0.5000  0.0000
Tb  0.0000  0.0000  0.5000
Tb  0.0000  0.5000  0.0000
Tb  0.5000  0.0000  0.0000
Pr  0.5000  0.5000  0.5000
Te  0.2402  0.7493  0.7493
Te  0.2448  0.2448  0.2448
Te  0.2507  0.2507  0.7598
Te  0.2507  0.7598  0.2507
Te  0.7493  0.2402  0.7493
Te  0.7493  0.7493  0.2402
Te  0.7552  0.7552  0.7552
Te  0.7598  0.2507  0.2507

* formation energy without anion corrections: -1.468 eV/atom
* ρ: 7077 kg/m3
* E: -5.44 eV/atom

Record 12
The following is a DFT calculation (GGA-PBE) of a relaxed Ba2As4Pd3Rh crystal.

a b c (Å): 4.5636 4.5636 10.2720
angles (deg): 90.00 90.00 90.00
Element x y z (fractional)
Ba  0.0000  0.5000  0.2454
Ba  0.5000  0.0000  0.7546
As  0.0000  0.0000  0.0000
As  0.0000  0.5000  0.6182
As  0.5000  0.0000  0.3818
As  0.5000  0.5000  0.0000
Pd  0.0000  0.5000  0.8822
Pd  0.5000  0.0000  0.1178
Pd  0.5000  0.5000  0.5000
Rh  0.0000  0.0000  0.5000

* ρ: 7735 kg/m3
* E: -5.28 eV/atom
* calculated formation energy: -713 kJ/mol of formula units

Record 13
The following is a DFT calculation (GGA-PBE) of a relaxed Pr4Sn6O19 crystal.

a b c (Å): 8.2415 8.2415 8.2415
angles (deg): 109.47 109.47 109.47
Element x y z (fractional)
Pr  0.0000  0.0000  0.2956
Pr  0.0000  0.2956  0.0000
Pr  0.2956  0.0000  0.0000
Pr  0.7044  0.7044  0.7044
Sn  0.1643  0.5000  0.6643
Sn  0.3357  0.8357  0.5000
Sn  0.5000  0.3357  0.8357
Sn  0.5000  0.6643  0.1643
Sn  0.6643  0.1643  0.5000
Sn  0.8357  0.5000  0.3357
O  0.0000  0.0000  0.0000
O  0.0000  0.3482  0.3482
O  0.0000  0.6518  0.6518
O  0.0376  0.7477  0.3563
O  0.2523  0.2900  0.6087
O  0.2900  0.6087  0.2523
O  0.3187  0.7100  0.9624
O  0.3482  0.0000  0.3482
O  0.3482  0.3482  0.0000
O  0.3563  0.0376  0.7477
O  0.3913  0.6813  0.6437
O  0.6087  0.2523  0.2900
O  0.6437  0.3913  0.6813
O  0.6518  0.0000  0.6518
O  0.6518  0.6518  0.0000
O  0.6813  0.6437  0.3913
O  0.7100  0.9624  0.3187
O  0.7477  0.3563  0.0376
O  0.9624  0.3187  0.7100

* formation energy without anion corrections: -2.067 eV/atom
* ρ: 6088 kg/m3
* E: -6.80 eV/atom

Record 14
The following is a DFT calculation (GGA-PBE) of a relaxed Ti5Si crystal.

a b c (Å): 4.9869 4.9869 4.5131
angles (deg): 90.00 90.00 120.00
Element x y z (fractional)
Ti  0.0000  0.3108  0.0000
Ti  0.3108  0.0000  0.0000
Ti  0.3333  0.6667  0.5000
Ti  0.6667  0.3333  0.5000
Ti  0.6892  0.6892  0.0000
Si  0.0000  0.0000  0.5000

* relative energy among the computed polymorphs: 20 meV per atom
* formation energy without anion corrections: -0.251 eV/atom
* ρ: 4568 kg/m3
* E: -7.73 eV/atom

Record 15
The following is a DFT calculation (GGA-PBE) of a relaxed La3MnC crystal.

a b c (Å): 5.0300 5.0300 5.0300
angles (deg): 90.00 90.00 90.00
Element x y z (fractional)
La  0.0000  0.0000  0.5000
La  0.0000  0.5000  0.0000
La  0.5000  0.0000  0.0000
Mn  0.0000  0.0000  0.0000
C  0.5000  0.5000  0.5000

* ρ: 6311 kg/m3
* E: -5.73 eV/atom
* calculated formation energy: 437 kJ/mol of formula units

Record 16
The following is a DFT calculation (GGA-PBE) of a relaxed Ba3S2Br crystal.

a b c (Å): 8.2278 8.2278 13.6857
angles (deg): 90.00 90.00 147.16
Element x y z (fractional)
Ba  0.1051  0.8949  0.7500
Ba  0.3841  0.6159  0.5762
Ba  0.3841  0.6159  0.9238
Ba  0.6159  0.3841  0.0762
Ba  0.6159  0.3841  0.4238
Ba  0.8949  0.1051  0.2500
S  0.0000  0.0000  0.0000
S  0.0000  0.0000  0.5000
S  0.4933  0.5067  0.7500
S  0.5067  0.4933  0.2500
Br  0.2275  0.7725  0.2500
Br  0.7725  0.2275  0.7500

* formation energy without anion corrections: -1.726 eV/atom
* ρ: 3675 kg/m3
* E: -4.34 eV/atom

Record 17
The following is a DFT calculation (GGA-PBE) of a relaxed MnCdIn2Pd crystal.

a b c (Å): 4.9922 4.9922 5.0296
angles (deg): 90.00 90.00 90.00
Element x y z (fractional)
Mn  0.0000  0.0000  0.0000
Cd  0.0000  0.0000  0.5000
In  0.0000  0.5000  0.0000
In  0.5000  0.0000  0.0000
Pd  0.5000  0.5000  0.5000

* ρ: 6669 kg/m3
* E: -3.57 eV/atom
* calculated formation energy: 282 kJ/mol of formula units

Record 18
The following is a DFT calculation (GGA-PBE) of a relaxed TmTa4Os5 crystal.

a b c (Å): 3.1360 3.1360 17.2044
angles (deg): 90.00 90.00 90.00
Element x y z (fractional)
Tm  0.0000  0.0000  0.0000
Ta  0.0000  0.0000  0.2079
Ta  0.0000  0.0000  0.4035
Ta  0.0000  0.0000  0.5965
Ta  0.0000  0.0000  0.7921
Os  0.5000  0.5000  0.1231
Os  0.5000  0.5000  0.3096
Os  0.5000  0.5000  0.5000
Os  0.5000  0.5000  0.6904
Os  0.5000  0.5000  0.8769

* ρ: 18096 kg/m3
* E: -11.10 eV/atom
* calculated formation energy: -290 kJ/mol of formula units

Record 19
The following is a DFT calculation (GGA-PBE) of a relaxed NaCa2Er crystal.

a b c (Å): 6.1302 6.1302 3.8927
angles (deg): 90.00 90.00 90.00
Element x y z (fractional)
Na  0.0000  0.0000  0.0000
Ca  0.0000  0.5000  0.5000
Ca  0.5000  0.0000  0.5000
Er  0.5000  0.5000  0.0000

* relative energy among the computed polymorphs: 75 meV per atom
* ρ: 3069 kg/m3
* E: -2.29 eV/atom
* calculated formation energy: 70 kJ/mol of formula units

Record 20
The following is a DFT calculation (GGA-PBE) of a relaxed Dy4HoPd2 crystal.

a b c (Å): 7.8147 6.3512 8.1148
angles (deg): 90.00 112.84 90.00
Element x y z (fractional)
Dy  0.0208  0.2500  0.3915
Dy  0.2442  0.7500  0.3473
Dy  0.4078  0.0049  0.7720
Dy  0.4078  0.4951  0.7720
Dy  0.5923  0.5049  0.2280
Dy  0.5923  0.9951  0.2280
Dy  0.7558  0.2500  0.6527
Dy  0.9792  0.7500  0.6085
Ho  0.1560  0.2500  0.0276
Ho  0.8440  0.7500  0.9724
Pd  0.2331  0.7500  0.9907
Pd  0.3821  0.2500  0.4183
Pd  0.6179  0.7500  0.5817
Pd  0.7669  0.2500  0.0093

* relative energy among the computed polymorphs: 0 meV per atom
* ρ: 9196 kg/m3
* E: -5.20 eV/atom
* calculated formation energy: -295 kJ/mol of formula units

Record 21
The following is a DFT calculation (GGA-PBE) of a relaxed MgHgSb2 crystal.

a b c (Å): 7.5613 7.5613 7.5613
angles (deg): 125.77 125.77 80.26
Element x y z (fractional)
Mg  0.0000  0.0000  0.0000
Mg  0.7500  0.2500  0.5000
Hg  0.2500  0.7500  0.5000
Hg  0.5000  0.5000  0.0000
Sb  0.1289  0.6250  0.0039
Sb  0.3750  0.3789  0.5039
Sb  0.6211  0.1250  0.9961
Sb  0.8750  0.8711  0.4961

* relative energy among the computed polymorphs: 200 meV per atom
* formation energy without anion corrections: 0.157 eV/atom
* ρ: 5665 kg/m3
* E: -2.38 eV/atom

Record 22
The following is a DFT calculation (GGA-PBE) of a relaxed Gd2YC crystal.

a b c (Å): 9.9151 9.9151 9.9151
angles (deg): 20.75 20.75 20.75
Element x y z (fractional)
Gd  0.1197  0.1197  0.1197
Gd  0.8803  0.8803  0.8803
Y  0.0000  0.0000  0.0000
C  0.5000  0.5000  0.5000

* ρ: 6442 kg/m3
* E: -11.02 eV/atom
* calculated formation energy: -23 kJ/mol of formula units

Record 23
The following is a DFT calculation (GGA-PBE) of a relaxed LiPmPrAu crystal.

a b c (Å): 3.8382 5.1775 5.2069
angles (deg): 90.00 90.00 90.00
Element x y z (fractional)
Li  0.0000  0.0000  0.0000
Pm  0.5000  0.0000  0.5000
Pr  0.5000  0.5000  0.0000
Au  0.0000  0.5000  0.5000

* relative energy among the computed polymorphs: 0 meV per atom
* ρ: 7861 kg/m3
* E: -4.04 eV/atom
* calculated formation energy: -137 kJ/mol of formula units

Record 24
The following is a DFT calculation (GGA-PBE) of a relaxed AcUAl4 crystal.

a b c (Å): 5.6969 5.6969 5.6969
angles (deg): 60.00 60.00 60.00
Element x y z (fractional)
Ac  0.0000  0.0000  0.0000
U  0.7500  0.7500  0.7500
Al  0.3762  0.3762  0.3762
Al  0.3762  0.3762  0.8713
Al  0.3762  0.8713  0.3762
Al  0.8713  0.3762  0.3762

* ρ: 7277 kg/m3
* E: -5.20 eV/atom
* calculated formation energy: -79 kJ/mol of formula units